[1]
PBE HfThPd4, relaxed; spin magnetization = 0.00 μB/cell; E_form = -4.3 eV/f.u.; SG = Pnma
1.0
-4.529 0.297 -0.283
-0.595 -7.173 1.975
-0.582 3.675 13.177
Pd Th Hf
16 4 4
direct
0.750 0.453 0.906
0.250 0.536 0.702
0.250 0.547 0.094
0.750 0.464 0.298
0.750 0.953 0.594
0.250 0.952 0.062
0.250 0.036 0.798
0.750 0.312 0.096
0.250 0.188 0.596
0.250 0.047 0.406
0.750 0.048 0.938
0.750 0.812 0.404
0.250 0.688 0.904
0.750 0.548 0.562
0.750 0.964 0.202
0.250 0.452 0.438
0.750 0.270 0.728
0.250 0.730 0.272
0.250 0.230 0.228
0.750 0.770 0.772
0.750 0.727 0.043
0.250 0.773 0.543
0.250 0.273 0.957
0.750 0.227 0.457


[2]
PBE HfTh2Pd9, relaxed; spin magnetization = 0.00 μB/cell; E_form = -10.6 eV/f.u.; SG = P4/mmm
1.0
-1.179 0.629 -3.951
2.999 -2.588 -1.307
-7.843 -9.507 0.826
Pd Th Hf
9 2 1
direct
0.500 0.500 0.328
0.000 0.500 0.156
0.000 0.500 0.500
0.500 0.500 0.000
0.500 0.000 0.500
0.500 0.500 0.672
0.500 0.000 0.844
0.500 0.000 0.156
0.000 0.500 0.844
0.000 0.000 0.673
0.000 0.000 0.327
0.000 0.000 0.000


[3]
PBE HfTh2Pd, relaxed; spin magnetization = 0.00 μB/cell; E_form = -0.9 eV/f.u.; SG = P4/mmm
1.0
3.482 0.000 0.000
0.000 3.482 0.000
0.000 0.000 8.620
Th Pd Hf
2 1 1
direct
0.000 0.000 0.773
0.000 0.000 0.227
0.500 0.500 0.000
0.500 0.500 0.500


[4]
PBE Hf3ThPd12, relaxed; spin magnetization = 0.00 μB/cell; E_form = -13.7 eV/f.u.; SG = P4/mmm
1.0
-1.808 -2.796 -2.353
0.326 -2.738 3.003
-14.428 4.532 5.698
Pd Th Hf
12 1 3
direct
0.000 0.500 0.866
0.000 0.500 0.134
0.500 0.500 0.000
0.500 0.000 0.378
0.500 0.500 0.256
0.000 0.500 0.622
0.500 0.500 0.744
0.500 0.000 0.866
0.500 0.500 0.500
0.500 0.000 0.134
0.500 0.000 0.622
0.000 0.500 0.378
0.000 0.000 0.000
0.000 0.000 0.500
0.000 0.000 0.744
0.000 0.000 0.256